Computed, not measured: a relaxed structure of Y5Te2Pd2 at the PBE level of DFT.

Results
formation energy (no corrections) = -0.997 eV/atom

Unit cell a=7.843 b=7.802 c=8.762 alpha=90.00 beta=63.41 gamma=90.00
Fractional positions:
Y 0.000 0.000 0.000
Y 0.500 0.500 0.000
Y 0.463 0.159 0.753
Y 0.784 0.841 0.753
Y 0.284 0.659 0.753
Y 0.963 0.341 0.753
Y 0.537 0.841 0.247
Y 0.216 0.159 0.247
Y 0.716 0.341 0.247
Y 0.037 0.659 0.247
Te 0.207 0.000 0.587
Te 0.707 0.500 0.587
Te 0.793 0.000 0.413
Te 0.293 0.500 0.413
Pd 0.136 0.367 0.000
Pd 0.864 0.633 0.000
Pd 0.364 0.867 0.000
Pd 0.636 0.133 0.000


Computed, not measured: a relaxed structure of KAlMo2 at the PBE level of DFT.

Results
energy of formation = 1388 meV/atom

Unit cell a=5.498 b=5.498 c=5.498 alpha=137.11 beta=137.11 gamma=62.27
Fractional positions:
Mo 0.000 0.000 0.000
Mo 0.500 0.500 0.000
K 0.750 0.250 0.500
Al 0.250 0.750 0.500


DOS at the Fermi energy (states/eV per atom)
0.99 1.09